Computed, not measured: a relaxed structure of LaSb2RhCl at the GGA-PBE level of DFT.

Lattice parameters (Å, degrees): 5.0095 5.8445 5.0095 90.00 90.00 90.00
Last column: nearest neighbours and their distance in Å.
Positions (direct):
Rh: 0.0000 0.0000 0.0000  4 Sb 2.50
Sb: 0.5000 0.0000 0.0000  2 Rh 2.50
Sb: 0.0000 0.0000 0.5000  2 Rh 2.50
Cl: 0.5000 0.5000 0.5000  4 La 3.54, 8 Sb 3.85
La: 0.0000 0.5000 0.0000  2 Rh 2.92

Computed properties:
- DOS(E_F): 3.77 states/eV/cell
- Energy: -25.24 eV for the cell shown
- Raw formation energy: -574.1 meV per atom
- Calculated density: 5.9 Mg/m³
- Magnetization: 0.00 Bohr magnetons per cell

---

Computed, not measured: a relaxed structure of KZn3As at the GGA-PBE level of DFT.

Lattice parameters (Å, degrees): 6.1543 6.1543 6.1543 90.00 90.00 90.00
Last column: nearest neighbours and their distance in Å.
Positions (direct):
As: 0.5000 0.5000 0.5000  12 Zn 4.35
Zn: 0.0000 0.5000 0.0000  2 K 3.08
Zn: 0.5000 0.0000 0.0000  2 K 3.08
Zn: 0.0000 0.0000 0.5000  2 K 3.08
K: 0.0000 0.0000 0.0000  6 Zn 3.08

Computed properties:
- DOS(E_F): 5.55 states/eV/cell
- Energy: -4.14 eV for the cell shown
- Polymorph energy (0 for the lowest one): 853 meV/atom
- Calculated density: 2.2 Mg/m³
- Magnetization: 2.05 Bohr magnetons per cell
- Formation enthalpy at 0 K: 1087 meV/atom

---

Computed, not measured: a relaxed structure of SrYPt2 at the GGA-PBE level of DFT.

Lattice parameters (Å, degrees): 6.3596 6.3596 6.3596 59.68 151.43 128.79
Last column: nearest neighbours and their distance in Å.
Positions (direct):
Pt: 0.0000 0.7388 0.7388  1 Y 2.63, 1 Sr 2.88
Pt: 0.0000 0.2612 0.2612  1 Y 2.63, 1 Sr 2.88
Y: 0.0000 0.5000 0.5000  2 Pt 2.63
Sr: 0.0000 0.0000 0.0000  2 Pt 2.88, 2 Sr 3.14, 4 Y 3.16

Computed properties:
- DOS(E_F): 3.66 states/eV/cell
- Energy: -18.80 eV for the cell shown
- Polymorph energy (0 for the lowest one): 1379 meV/atom
- Calculated density: 9.9 Mg/m³
- Magnetization: 0.00 Bohr magnetons per cell
- Formation enthalpy at 0 K: 356 meV/atom

---

Computed, not measured: a relaxed structure of Rb2HgCl at the GGA-PBE level of DFT.

Lattice parameters (Å, degrees): 6.1237 6.1237 6.1237 60.00 60.00 60.00
Last column: nearest neighbours and their distance in Å.
Positions (direct):
Hg: 0.5000 0.5000 0.5000  8 Rb 3.75
Rb: 0.7500 0.7500 0.7500  4 Hg 3.75, 4 Cl 3.75
Rb: 0.2500 0.2500 0.2500  4 Hg 3.75, 4 Cl 3.75
Cl: 0.0000 0.0000 0.0000  8 Rb 3.75

Computed properties:
- DOS(E_F): 4.51 states/eV/cell
- Energy: -7.39 eV for the cell shown
- Raw formation energy: -825.8 meV per atom
- Polymorph energy (0 for the lowest one): 164 meV/atom
- Calculated density: 4.2 Mg/m³
- Magnetization: 0.00 Bohr magnetons per cell

---

Computed, not measured: a relaxed structure of TmCo3B2 at the GGA-PBE level of DFT.

Lattice parameters (Å, degrees): 3.3068 8.2919 8.2919 120.00 90.00 90.00
Last column: nearest neighbours and their distance in Å.
Positions (direct):
B: 0.5000 0.1885 0.8115  6 Co 2.14-2.25
B: 0.5000 0.8115 0.6230  6 Co 2.14-2.25
B: 0.5000 0.8115 0.1885  6 Co 2.14-2.25
B: 0.5000 0.3770 0.1885  6 Co 2.14-2.25
B: 0.5000 0.1885 0.3770  6 Co 2.14-2.25
B: 0.5000 0.6230 0.8115  6 Co 2.14-2.25
Co: 0.0000 0.7141 0.7141  4 B 2.14, 2 Co 2.37
Co: 0.0000 0.0000 0.2859  4 B 2.14, 2 Co 2.37
Co: 0.0000 0.2859 0.0000  4 B 2.14, 2 Co 2.37
Co: 0.5000 0.0000 0.5000  4 B 2.25, 4 Co 2.43
Co: 0.0000 0.7141 0.0000  4 B 2.14, 2 Co 2.37
Co: 0.5000 0.5000 0.5000  4 B 2.25, 4 Co 2.43
Co: 0.5000 0.5000 0.0000  4 B 2.25, 4 Co 2.43
Co: 0.0000 0.0000 0.7141  4 B 2.14, 2 Co 2.37
Co: 0.0000 0.2859 0.2859  4 B 2.14, 2 Co 2.37
Tm: 0.0000 0.3333 0.6667  6 B 2.66, 6 Co 2.91
Tm: 0.0000 0.6667 0.3333  6 B 2.66, 6 Co 2.91
Tm: 0.5000 0.0000 0.0000  6 B 2.71, 12 Co 2.89

Computed properties:
- DOS(E_F): 19.15 states/eV/cell
- Energy: -123.51 eV for the cell shown
- Polymorph energy (0 for the lowest one): 189 meV/atom
- Calculated density: 9.3 Mg/m³
- Magnetization: 6.57 Bohr magnetons per cell
- Formation enthalpy at 0 K: -338 meV/atom

---

Computed, not measured: a relaxed structure of Ca3Zn2BiAu9 at the GGA-PBE level of DFT.

Lattice parameters (Å, degrees): 7.4183 7.4183 8.0936 90.00 90.00 120.00
Last column: nearest neighbours and their distance in Å.
Positions (direct):
Ca: 0.6667 0.3333 0.2771  6 Au 3.10-3.11
Ca: 0.0000 0.0000 0.0000  6 Au 3.71, 2 Bi 4.05
Ca: 0.3333 0.6667 0.7229  6 Au 3.10-3.11
Au: 0.5000 0.5000 0.0000  2 Zn 2.48
Au: 0.4101 0.2051 0.6029  1 Zn 2.57, 1 Bi 2.76, 2 Au 2.85
Au: 0.5000 0.0000 0.0000  2 Zn 2.48
Au: 0.2051 0.4101 0.3971  1 Zn 2.57, 1 Bi 2.76, 2 Au 2.85
Au: 0.5899 0.7949 0.3971  1 Zn 2.57, 1 Bi 2.76, 2 Au 2.85
Au: 0.0000 0.5000 0.0000  2 Zn 2.48
Au: 0.7949 0.2051 0.6029  1 Zn 2.57, 1 Bi 2.76, 2 Au 2.85
Au: 0.2051 0.7949 0.3971  1 Zn 2.57, 1 Bi 2.76, 2 Au 2.85
Au: 0.7949 0.5899 0.6029  1 Zn 2.57, 1 Bi 2.76, 2 Au 2.85
Bi: 0.0000 0.0000 0.5000  6 Au 2.76
Zn: 0.6667 0.3333 0.8458  6 Au 2.48-2.57
Zn: 0.3333 0.6667 0.1542  6 Au 2.48-2.57

Computed properties:
- DOS(E_F): 3.79 states/eV/cell
- Energy: -45.27 eV for the cell shown
- Calculated density: 9.6 Mg/m³
- Magnetization: 0.00 Bohr magnetons per cell
- Formation enthalpy at 0 K: -223 meV/atom

---

Computed, not measured: a relaxed structure of BeRe2Au at the GGA-PBE level of DFT.

Lattice parameters (Å, degrees): 4.6337 4.6337 4.6337 129.60 129.60 74.05
Last column: nearest neighbours and their distance in Å.
Positions (direct):
Re: 0.2500 0.7500 0.5000  4 Re 2.70, 4 Au 2.70, 4 Be 2.79
Re: 0.0000 0.0000 0.0000  4 Re 2.70, 4 Be 2.70, 4 Au 2.79
Au: 0.5000 0.5000 0.0000  8 Re 2.70-2.79, 4 Be 2.70
Be: 0.7500 0.2500 0.5000  8 Re 2.70-2.79, 4 Au 2.70

Computed properties:
- DOS(E_F): 2.64 states/eV/cell
- Energy: -30.38 eV for the cell shown
- Calculated density: 16.7 Mg/m³
- Magnetization: 0.00 Bohr magnetons per cell
- Formation enthalpy at 0 K: 379 meV/atom

---

Computed, not measured: a relaxed structure of LaSi2P at the GGA-PBE level of DFT.

Lattice parameters (Å, degrees): 3.5524 3.5524 6.1629 90.00 90.00 90.03
Last column: nearest neighbours and their distance in Å.
Positions (direct):
P: 0.5000 0.5000 0.7500  8 Si 2.76, 2 La 3.08
Si: 0.0000 0.0000 0.9357  1 Si 2.29
Si: 0.0000 0.0000 0.5643  1 Si 2.29
La: 0.5000 0.5000 0.2500  2 P 3.08, 8 Si 3.17

Computed properties:
- DOS(E_F): 1.75 states/eV/cell
- Energy: -21.94 eV for the cell shown
- Raw formation energy: -190.2 meV per atom
- Calculated density: 4.8 Mg/m³
- Magnetization: 0.00 Bohr magnetons per cell

---

Computed, not measured: a relaxed structure of CrCu2W at the GGA-PBE level of DFT.

Lattice parameters (Å, degrees): 4.7803 4.7803 2.5665 90.34 90.34 116.95
Last column: nearest neighbours and their distance in Å.
Positions (direct):
Cr: 0.0000 0.5000 0.5000  2 W 2.50, 2 Cr 2.57, 8 Cu 2.71-2.72
Cu: 0.5000 0.5000 0.0000  4 Cu 2.50-2.57, 4 W 2.71-2.72, 4 Cr 2.71-2.72
Cu: 0.0000 0.0000 0.0000  4 Cu 2.50-2.57, 4 Cr 2.71-2.72, 4 W 2.71-2.72
W: 0.5000 0.0000 0.5000  2 Cr 2.50, 2 W 2.57, 8 Cu 2.71-2.72

Computed properties:
- DOS(E_F): 4.30 states/eV/cell
- Energy: -29.31 eV for the cell shown
- Polymorph energy (0 for the lowest one): 119 meV/atom
- Calculated density: 11.5 Mg/m³
- Magnetization: 0.47 Bohr magnetons per cell
- Formation enthalpy at 0 K: 365 meV/atom

---

Computed, not measured: a relaxed structure of RbSrCa2Cl8 at the GGA-PBE level of DFT.

Lattice parameters (Å, degrees): 7.4342 5.5160 9.4663 89.96 89.99 87.84
Last column: nearest neighbours and their distance in Å.
Positions (direct):
Cl: 0.8195 0.2598 0.2284  1 Ca 2.68, 1 Sr 2.90
Cl: 0.1805 0.7402 0.7716  1 Ca 2.68, 1 Sr 2.90
Cl: 0.4814 0.2505 0.5000  2 Cl 2.77-2.78, 2 Ca 3.01
Cl: 0.3490 0.2528 0.0001  2 Ca 2.74, 1 Sr 2.99
Cl: 0.5186 0.7495 0.5000  2 Cl 2.77-2.78, 2 Ca 3.01
Cl: 0.1802 0.7397 0.2285  1 Ca 2.68, 1 Sr 2.90
Cl: 0.8198 0.2603 0.7715  1 Ca 2.68, 1 Sr 2.90
Cl: 0.6510 0.7472 0.9999  2 Ca 2.74, 1 Sr 2.99
Sr: 0.0000 0.0000 0.0000  6 Cl 2.90-2.99
Ca: 0.5000 0.5001 0.2182  4 Cl 2.68-2.74
Ca: 0.5000 0.4999 0.7818  4 Cl 2.68-2.74
Rb: 0.0000 0.0000 0.5000  4 Cl 3.21

Computed properties:
- DOS(E_F): 7.61 states/eV/cell
- Energy: -46.02 eV for the cell shown
- Raw formation energy: -2049.8 meV per atom
- Calculated density: 2.3 Mg/m³
- Magnetization: 0.00 Bohr magnetons per cell

---

Computed, not measured: a relaxed structure of RbHf3Re at the GGA-PBE level of DFT.

Lattice parameters (Å, degrees): 4.8434 4.8434 4.8434 90.00 90.00 90.00
Last column: nearest neighbours and their distance in Å.
Positions (direct):
Rb: 0.0000 0.0000 0.0000  6 Hf 2.42
Re: 0.5000 0.5000 0.5000  12 Hf 3.42
Hf: 0.5000 0.0000 0.0000  2 Rb 2.42
Hf: 0.0000 0.0000 0.5000  2 Rb 2.42
Hf: 0.0000 0.5000 0.0000  2 Rb 2.42

Computed properties:
- DOS(E_F): 6.38 states/eV/cell
- Energy: -29.52 eV for the cell shown
- Polymorph energy (0 for the lowest one): 1969 meV/atom
- Calculated density: 11.8 Mg/m³
- Magnetization: 0.00 Bohr magnetons per cell
- Formation enthalpy at 0 K: 2751 meV/atom

---

Computed, not measured: a relaxed structure of Sm3MgSc3Se8 at the GGA-PBE level of DFT.

Lattice parameters (Å, degrees): 7.9589 7.9594 8.0623 119.57 90.00 120.01
Last column: nearest neighbours and their distance in Å.
Positions (direct):
Se: 0.7545 0.0150 0.2695  2 Sc 2.75, 1 Mg 2.78, 2 Sm 2.92
Se: 0.2454 0.4908 0.7304  2 Sc 2.75, 1 Mg 2.78, 2 Sm 2.92
Se: 0.2577 0.5154 0.2730  3 Sc 2.75, 3 Sm 2.92
Se: 0.2604 0.0150 0.2696  2 Sc 2.75, 1 Mg 2.78, 2 Sm 2.92
Se: 0.7396 0.9850 0.7304  2 Sc 2.75, 1 Mg 2.78, 2 Sm 2.92
Se: 0.7546 0.5092 0.2696  2 Sc 2.75, 1 Mg 2.78, 2 Sm 2.92
Se: 0.7423 0.4846 0.7270  3 Sc 2.75, 3 Sm 2.92
Se: 0.2455 0.9850 0.7305  2 Sc 2.75, 1 Mg 2.78, 2 Sm 2.92
Sm: 0.5000 0.5000 0.0000  6 Se 2.92
Sm: 0.0000 0.5000 0.0000  6 Se 2.92
Sm: 0.0000 0.0000 0.0000  6 Se 2.92
Sc: 0.0000 0.5000 0.5000  6 Se 2.75
Sc: 0.5000 0.0000 0.5000  6 Se 2.75
Sc: 0.5000 0.5000 0.5000  6 Se 2.75
Mg: 0.0000 0.0000 0.5000  6 Se 2.78

Computed properties:
- DOS(E_F): 3.92 states/eV/cell
- Energy: -87.95 eV for the cell shown
- Raw formation energy: -1688.4 meV per atom
- Calculated density: 5.7 Mg/m³
- Magnetization: 0.00 Bohr magnetons per cell